DFT (PBE with a Hubbard U) results for a geometry-optimized CsCrCl2F structure.

## Properties
Uncorrected energy   -4.68 eV/atom
Calculated volume   24.19 A^3/atom

a = 5.4192 Å, b = 5.4192 Å, c = 4.1181 Å
α = 90.00°, β = 90.00°, γ = 90.00°
Closest atoms and distances in Å follow each position.
Space group P4/mmm (No. 123)
Asymmetric unit:
Cs: 0.0000 0.0000 0.0000 (multiplicity 1)  8 Cl 3.40
Cr: 0.5000 0.5000 0.5000 (multiplicity 1)  2 F 2.06
Cl: 0.0000 0.5000 0.5000 (multiplicity 2)  2 Cr 2.71
F: 0.5000 0.5000 0.0000 (multiplicity 1)  2 Cr 2.06